(1)
A plane-wave DFT calculation with GGA-PBE was carried out for a relaxed NaMgGa2Sn2 crystal.

```
NaMgGa2Sn2
1.0
4.832 0.000 0.000
-2.416 4.185 0.000
0.000 0.000 7.224
Na Mg Ga Sn
1 1 2 2
Direct
0.000 0.000 0.000
0.000 0.000 0.500
0.333 0.667 0.346
0.667 0.333 0.654
0.333 0.667 0.756
0.667 0.333 0.244
```

Summary:
calculated volume	146.1	Å³ per cell
space group	P-3m1
size of the total moment	0.000	μB/atom
ΔH_f (0 K)	-0.60	eV/f.u.
total DFT energy (no corrections)	-2.928	eV per atom

(2)
A plane-wave DFT calculation with GGA-PBE was carried out for a relaxed LaTbPrTl crystal.

```
LaTbPrTl
1.0
0.000 3.998 3.998
3.998 0.000 3.998
3.998 3.998 0.000
La Tb Pr Tl
1 1 1 1
Direct
0.000 0.000 0.000
0.750 0.750 0.750
0.500 0.500 0.500
0.250 0.250 0.250
```

Summary:
energy above the lowest structure with this stoichiometry	0.0	meV per atom
calculated volume	127.8	Å³ per cell
space group	F-43m
size of the total moment	0.293	μB/atom
ΔH_f (0 K)	-0.33	eV/f.u.
total DFT energy (no corrections)	-4.259	eV per atom

(3)
A plane-wave DFT calculation with GGA-PBE was carried out for a relaxed SnP3O9 crystal.

```
SnP3O9
1.0
8.869 0.000 0.000
0.000 8.939 0.000
0.000 0.000 9.078
Sn P O
4 12 36
Direct
0.129 0.141 0.349
0.371 0.859 0.849
0.629 0.359 0.651
0.871 0.641 0.151
0.034 0.676 0.809
0.194 0.197 0.940
0.195 0.516 0.313
0.305 0.484 0.813
0.306 0.803 0.440
0.466 0.324 0.309
0.534 0.824 0.191
0.694 0.303 0.060
0.695 0.984 0.687
0.805 0.016 0.187
0.806 0.697 0.560
0.966 0.176 0.691
0.040 0.218 0.846
0.085 0.116 0.588
0.110 0.391 0.387
0.122 0.595 0.184
0.126 0.808 0.860
0.142 0.541 0.756
0.149 0.164 0.095
0.197 0.903 0.359
0.239 0.634 0.439
0.261 0.366 0.939
0.303 0.097 0.859
0.351 0.836 0.595
0.358 0.459 0.256
0.374 0.192 0.360
0.378 0.405 0.684
0.390 0.609 0.887
0.415 0.884 0.088
0.460 0.782 0.346
0.540 0.282 0.154
0.585 0.384 0.412
0.610 0.109 0.613
0.622 0.905 0.816
0.626 0.692 0.140
0.642 0.959 0.244
0.649 0.336 0.905
0.697 0.597 0.641
0.739 0.866 0.561
0.761 0.134 0.061
0.803 0.403 0.141
0.851 0.664 0.405
0.858 0.041 0.744
0.874 0.308 0.640
0.878 0.095 0.316
0.890 0.891 0.113
0.915 0.616 0.912
0.960 0.718 0.654
```

Summary:
energy above the lowest structure with this stoichiometry	56.1	meV per atom
calculated volume	719.7	Å³ per cell
space group	P2_12_12_1
size of the total moment	0.073	μB/atom
raw formation energy	-1.939	eV/atom
total DFT energy (no corrections)	-6.927	eV per atom